VASP calculation (GGA-PBE) on crystalline Rb3PaGe2Se6 at its relaxed geometry.

Values from the calculation:
DFT total energy (Ha/atom): -0.167
Crystal system: monoclinic
Formation energy from raw total energies (meV per atom): -993

Unit cell a=7.3639 b=12.7454 c=8.2173 alpha=90.00 beta=107.29 gamma=90.00
Closest atoms and distances in Å follow each position.
Space group C2/m (No. 12)
Inequivalent atoms, fractional coordinates:
Rb (0.0000, 0.0000, 0.0000)  6 Se 3.44-3.51
Rb (0.0000, 0.3283, 0.0000)  6 Se 3.44-3.48
Pa (0.0000, 0.5000, 0.5000)  6 Se 2.80-2.81
Ge (0.0000, 0.1658, 0.5000)  6 Se 2.89-2.90
Se (0.2246, 0.3380, 0.6881)  1 Pa 2.80, 2 Ge 2.89-2.90
Se (0.2394, 0.0000, 0.6897)  1 Pa 2.81, 2 Ge 2.89



VASP calculation (GGA-PBE) on crystalline Rb2PaGe2Se6 at its relaxed geometry.

Values from the calculation:
DFT total energy (Ha/atom): -0.170
Crystal system: monoclinic
Formation energy from raw total energies (meV per atom): -858

Unit cell a=12.9719 b=7.6397 c=8.5328 alpha=90.00 beta=120.43 gamma=90.00
Closest atoms and distances in Å follow each position.
Space group C2/m (No. 12)
Inequivalent atoms, fractional coordinates:
Rb (0.2093, 0.0000, 0.1908)  5 Se 3.42-3.57
Pa (0.0000, 0.0000, 0.5000)  6 Se 2.72-2.82
Ge (0.0428, 0.5000, 0.1773)  3 Se 2.44-2.49, 1 Ge 2.64
Se (0.0524, 0.2447, 0.7785)  1 Ge 2.44
Se (0.2372, 0.0000, 0.6114)  1 Ge 2.49, 1 Pa 2.72



VASP calculation (GGA-PBE) on crystalline Rb3PaGe2Te6 at its relaxed geometry.

Values from the calculation:
DFT total energy (Ha/atom): -0.150
Crystal system: monoclinic
Formation energy from raw total energies (meV per atom): -718

Unit cell a=7.8267 b=13.5527 c=8.7803 alpha=90.00 beta=107.25 gamma=90.00
Closest atoms and distances in Å follow each position.
Space group C2/m (No. 12)
Inequivalent atoms, fractional coordinates:
Rb (0.0000, 0.0000, 0.0000)  6 Te 3.68-3.70
Rb (0.0000, 0.3309, 0.0000)  6 Te 3.68-3.70
Pa (0.0000, 0.5000, 0.5000)  6 Te 3.03
Ge (0.0000, 0.1660, 0.5000)  6 Te 3.06-3.07
Te (0.2278, 0.3350, 0.6886)  1 Pa 3.03, 2 Ge 3.06-3.07
Te (0.2332, 0.0000, 0.6893)  1 Pa 3.03, 2 Ge 3.06



VASP calculation (GGA-PBE) on crystalline Pa4ReGe3 at its relaxed geometry.

Values from the calculation:
DFT total energy (Ha/atom): -0.308
Crystal system: orthorhombic
Calculated formation energy (eV/atom): -0.350

Unit cell a=4.0236 b=4.2491 c=10.5827 alpha=90.00 beta=90.00 gamma=90.00
Closest atoms and distances in Å follow each position.
Space group Pmm2 (No. 25)
Inequivalent atoms, fractional coordinates:
Pa (0.0000, 0.0000, 0.0000)  5 Ge 2.91-2.96, 2 Re 3.04
Pa (0.0000, 0.5000, 0.2648)  3 Ge 2.89-3.08, 4 Re 2.97
Pa (0.5000, 0.0000, 0.4859)  1 Re 2.86, 4 Ge 2.98
Pa (0.5000, 0.5000, 0.7636)  7 Ge 2.95-3.12
Re (0.5000, 0.0000, 0.2155)  2 Ge 2.79, 7 Pa 2.86-3.04
Ge (0.0000, 0.0000, 0.7252)  2 Ge 2.90, 7 Pa 2.91-3.23
Ge (0.0000, 0.5000, 0.5383)  7 Pa 2.89-3.12, 2 Ge 2.90
Ge (0.5000, 0.5000, 0.0439)  2 Re 2.79, 7 Pa 2.96-3.08



VASP calculation (GGA-PBE) on crystalline PaRe2Ge at its relaxed geometry.

Values from the calculation:
DFT total energy (Ha/atom): -0.358
Crystal system: tetragonal
Calculated formation energy (eV/atom): 0.018

Unit cell a=4.3047 b=4.3047 c=3.7905 alpha=90.00 beta=90.00 gamma=90.00
Closest atoms and distances in Å follow each position.
Space group P4/mmm (No. 123)
Inequivalent atoms, fractional coordinates:
Pa (0.0000, 0.0000, 0.0000)  8 Re 2.87, 4 Ge 3.04
Re (0.0000, 0.5000, 0.5000)  4 Ge 2.87, 4 Pa 2.87, 4 Re 3.04
Ge (0.5000, 0.5000, 0.0000)  8 Re 2.87, 4 Pa 3.04



VASP calculation (GGA-PBE) on crystalline Pa2ReGe at its relaxed geometry.

Values from the calculation:
DFT total energy (Ha/atom): -0.339
Crystal system: tetragonal
Calculated formation energy (eV/atom): -0.222

Unit cell a=3.6934 b=3.6934 c=6.1368 alpha=90.00 beta=90.00 gamma=90.00
Closest atoms and distances in Å follow each position.
Space group P4/mmm (No. 123)
Inequivalent atoms, fractional coordinates:
Pa (0.0000, 0.0000, 0.2452)  2 Pa 3.01-3.13, 4 Ge 3.01, 4 Re 3.04
Re (0.5000, 0.5000, 0.5000)  8 Pa 3.04, 2 Ge 3.07
Ge (0.5000, 0.5000, 0.0000)  8 Pa 3.01, 2 Re 3.07



VASP calculation (GGA-PBE) on crystalline Pa2ReGe2 at its relaxed geometry.

Values from the calculation:
DFT total energy (Ha/atom): -0.315
Crystal system: orthorhombic
Calculated formation energy (eV/atom): -0.432

Unit cell a=3.7743 b=6.1821 c=8.7401 alpha=90.00 beta=90.00 gamma=90.00
Closest atoms and distances in Å follow each position.
Space group Immm (No. 71)
Inequivalent atoms, fractional coordinates:
Pa (0.0000, 0.0000, 0.2347)  6 Ge 2.94-3.07, 2 Re 2.99
Re (0.0000, 0.5000, 0.0000)  4 Ge 2.62
Ge (0.0000, 0.2932, 0.5000)  1 Ge 2.56, 2 Re 2.62



VASP calculation (GGA-PBE) on crystalline Pa2ReGe at its relaxed geometry.

Values from the calculation:
DFT total energy (Ha/atom): -0.332
Crystal system: cubic
Calculated formation energy (eV/atom): -0.022

Unit cell a=6.9804 b=6.9804 c=6.9804 alpha=90.00 beta=90.00 gamma=90.00
Closest atoms and distances in Å follow each position.
Space group Fm-3m (No. 225)
Inequivalent atoms, fractional coordinates:
Pa (0.2500, 0.2500, 0.2500)  4 Ge 3.02, 4 Re 3.02
Re (0.0000, 0.0000, 0.0000)  8 Pa 3.02
Ge (0.0000, 0.0000, 0.5000)  8 Pa 3.02



VASP calculation (GGA-PBE) on crystalline PaRe2Ge at its relaxed geometry.

Values from the calculation:
DFT total energy (Ha/atom): -0.351
Crystal system: cubic
Calculated formation energy (eV/atom): 0.214

Unit cell a=6.5878 b=6.5878 c=6.5878 alpha=90.00 beta=90.00 gamma=90.00
Closest atoms and distances in Å follow each position.
Space group Fm-3m (No. 225)
Inequivalent atoms, fractional coordinates:
Pa (0.0000, 0.0000, 0.0000)  8 Re 2.85
Re (0.2500, 0.2500, 0.2500)  4 Ge 2.85, 4 Pa 2.85
Ge (0.0000, 0.0000, 0.5000)  8 Re 2.85



VASP calculation (GGA-PBE) on crystalline Pa2ReGe at its relaxed geometry.

Values from the calculation:
DFT total energy (Ha/atom): -0.335
Crystal system: trigonal
Calculated formation energy (eV/atom): -0.114

Unit cell a=4.0648 b=4.0648 c=20.1517 alpha=90.00 beta=90.00 gamma=120.00
Closest atoms and distances in Å follow each position.
Space group R-3m (No. 166, hexagonal axes)
Inequivalent atoms, fractional coordinates:
Pa (0.0000, 0.0000, 0.2421)  3 Re 2.80, 3 Ge 2.98
Re (0.0000, 0.0000, 0.5000)  6 Pa 2.80
Ge (0.0000, 0.0000, 0.0000)  6 Pa 2.98



VASP calculation (GGA-PBE) on crystalline Pa4Re7Ge6 at its relaxed geometry.

Values from the calculation:
DFT total energy (Ha/atom): -0.345
Crystal system: cubic
Calculated formation energy (eV/atom): -0.409

Unit cell a=8.4575 b=8.4575 c=8.4575 alpha=90.00 beta=90.00 gamma=90.00
Closest atoms and distances in Å follow each position.
Space group Im-3m (No. 229)
Inequivalent atoms, fractional coordinates:
Pa (0.2500, 0.2500, 0.2500)  6 Re 2.99, 6 Ge 3.03
Re (0.0000, 0.0000, 0.0000)  6 Ge 2.62
Re (0.0000, 0.2500, 0.5000)  4 Ge 2.66
Ge (0.0000, 0.0000, 0.3097)  5 Re 2.62-2.66



VASP calculation (GGA-PBE) on crystalline Pa5Re2Ge5 at its relaxed geometry.

Values from the calculation:
DFT total energy (Ha/atom): -0.305
Crystal system: monoclinic
Calculated formation energy (eV/atom): -0.351

Unit cell a=15.2003 b=4.4126 c=9.8770 alpha=90.00 beta=130.19 gamma=90.00
Closest atoms and distances in Å follow each position.
Space group C2/m (No. 12)
Inequivalent atoms, fractional coordinates:
Pa (0.0000, 0.0000, 0.0000)  4 Re 3.01, 6 Ge 3.01-3.06, 2 Pa 3.29
Pa (0.1191, 0.0000, 0.4201)  3 Re 2.83-2.99, 3 Ge 3.08-3.10
Pa (0.1860, 0.0000, 0.8342)  5 Ge 2.92-3.03, 1 Re 3.08
Re (0.1528, 0.5000, 0.2539)  3 Ge 2.60-2.66, 1 Pa 2.83
Ge (0.0000, 0.5000, 0.5000)  4 Ge 2.83-3.01
Ge (0.0592, 0.5000, 0.8557)  1 Re 2.66
Ge (0.2425, 0.5000, 0.7082)  2 Re 2.60, 1 Ge 2.83